# 1
A relaxed structure of CaCe2Ru, computed with PBE.

```
CaCe2Ru
1.0
3.998 0.000 0.000
-1.999 3.463 0.000
0.000 0.000 27.640
Ca Ce Ru
3 6 3
direct
0.000 0.000 0.000 Ca
0.333 0.667 0.667 Ca
0.667 0.333 0.333 Ca
0.000 0.000 0.553 Ce
0.000 0.000 0.778 Ce
0.333 0.667 0.220 Ce
0.333 0.667 0.444 Ce
0.667 0.333 0.111 Ce
0.667 0.333 0.887 Ce
0.000 0.000 0.164 Ru
0.333 0.667 0.831 Ru
0.667 0.333 0.497 Ru
```

* energy above the lowest structure with this stoichiometry: 1.1 meV/atom
* space-group type: No. 160
* crystal system: trigonal

=====

# 2
A relaxed structure of CaCeRu, computed with PBE.

```
CaCeRu
1.0
4.335 0.000 0.000
-2.168 3.755 0.000
0.000 0.000 5.247
Ca Ce Ru
1 1 1
direct
0.000 0.000 0.000 Ca
0.667 0.333 0.500 Ce
0.333 0.667 0.504 Ru
```

* energy above the lowest structure with this stoichiometry: 155.6 meV/atom
* space-group type: No. 156
* crystal system: trigonal

=====

# 3
A relaxed structure of CaCe3Ru, computed with PBE.

```
CaCe3Ru
1.0
5.478 0.000 0.000
0.000 5.478 0.000
0.000 0.000 5.478
Ca Ce Ru
1 3 1
direct
0.000 0.000 0.000 Ca
0.000 0.500 0.500 Ce
0.500 0.000 0.500 Ce
0.500 0.500 0.000 Ce
0.500 0.500 0.500 Ru
```

* space-group type: No. 221
* final energy: -5.82 eV per atom
* crystal system: cubic

=====

We obtain DOS at the Fermi energy values of 11.4 3.3 17.5 states/eV/f.u. for the records listed above, in that order.